[1]
The following is a DFT calculation (PBE) of crystalline CaYFe2Br at its relaxed geometry.

Energy relative to the elements, uncorrected = 0.596 eV per atom
Electronic total energy = -4.817 eV per atom

a = 4.6728 Å, b = 4.6728 Å, c = 5.2667 Å
α = 90.00°, β = 90.00°, γ = 90.00°
Closest atoms and distances in Å follow each position.
Positions (direct):
Ca  0.0000  0.0000  0.0000  4 Y 3.30, 8 Fe 3.52
Y  0.5000  0.5000  0.0000  2 Br 2.63
Fe  0.0000  0.5000  0.5000  2 Br 2.34
Fe  0.5000  0.0000  0.5000  2 Br 2.34
Br  0.5000  0.5000  0.5000  4 Fe 2.34



[2]
The following is a DFT calculation (PBE) of crystalline CaGaBr2 at its relaxed geometry.

Energy relative to the elements, uncorrected = -1.148 eV per atom
Electronic total energy = -3.241 eV per atom

a = 10.3937 Å, b = 10.3937 Å, c = 10.3937 Å
α = 22.54°, β = 22.54°, γ = 22.54°
Closest atoms and distances in Å follow each position.
Positions (direct):
Ca  0.0000  0.0000  0.0000  6 Br 2.88
Ga  0.5000  0.5000  0.5000  2 Br 3.39
Br  0.3885  0.3885  0.3885  3 Ca 2.88
Br  0.6115  0.6115  0.6115  3 Ca 2.88



[3]
The following is a DFT calculation (PBE) of crystalline Ca2GaBr at its relaxed geometry.

Energy relative to the elements, uncorrected = -0.868 eV per atom
Electronic total energy = -3.043 eV per atom

a = 3.6013 Å, b = 3.6013 Å, c = 8.2986 Å
α = 90.00°, β = 90.00°, γ = 90.00°
Closest atoms and distances in Å follow each position.
Positions (direct):
Ca  0.0000  0.0000  0.2261  4 Ga 3.16, 4 Br 3.41
Ca  0.0000  0.0000  0.7739  4 Ga 3.16, 4 Br 3.41
Ga  0.5000  0.5000  0.0000  8 Ca 3.16
Br  0.5000  0.5000  0.5000  8 Ca 3.41, 4 Br 3.60